No. 1
Compound: InAgPt
Source: Alexandria
Functional: GGA-PBE
Structure: relaxed

space-group type: P3m1, No. 156
calculated formation energy: -0.173 eV per atom
distance to the lowest polymorph of the same formula: 16 meV/atom

a b c (Å): 4.611 4.611 2.989
angles (deg): 90.00 90.00 120.00
Fractional positions:
Ag 0.000 0.000 0.015
Pt 0.667 0.333 0.587
In 0.333 0.667 0.398

---

No. 2
Compound: SrTmAlSe4
Source: Alexandria
Functional: GGA-PBE
Structure: relaxed

space-group type: P2_1/m, No. 11

a b c (Å): 6.769 7.021 8.316
angles (deg): 90.00 106.85 90.00
Fractional positions:
Sr 0.764 0.750 0.944
Sr 0.236 0.250 0.056
Tm 0.776 0.750 0.445
Tm 0.224 0.250 0.555
Al 0.242 0.750 0.324
Al 0.758 0.250 0.676
Se 0.005 0.506 0.726
Se 0.995 0.006 0.274
Se 0.995 0.494 0.274
Se 0.005 0.994 0.726
Se 0.443 0.750 0.136
Se 0.557 0.250 0.864
Se 0.457 0.750 0.601
Se 0.543 0.250 0.399

---

No. 3
Compound: P2HIrAu
Source: Alexandria
Functional: GGA-PBE
Structure: relaxed

space-group type: P1, No. 1
distance to the lowest polymorph of the same formula: 127 meV/atom

a b c (Å): 3.358 4.007 6.179
angles (deg): 100.75 95.04 110.19
Fractional positions:
P 0.362 0.292 0.883
P 0.446 0.669 0.479
H 0.779 0.232 0.588
Ir 0.998 0.636 0.762
Au 0.320 0.083 0.218

---

No. 4
Compound: Al5V4B
Source: Alexandria
Functional: GGA-PBE
Structure: relaxed

space-group type: C2/m, No. 12
calculated formation energy: -0.088 eV per atom

a b c (Å): 2.824 7.464 7.130
angles (deg): 100.03 101.42 90.00
Fractional positions:
Al 0.181 0.366 0.362
Al 0.171 0.738 0.342
Al 0.829 0.262 0.658
Al 0.500 0.500 0.000
Al 0.819 0.634 0.638
V 0.654 0.040 0.309
V 0.004 0.196 0.009
V 0.346 0.960 0.691
V 0.996 0.804 0.991
B 0.500 0.000 0.000

---

No. 5
Compound: Cs3Nd3SbS8
Source: Alexandria
Functional: GGA-PBE
Structure: relaxed

space-group type: R-3m, No. 166

a b c (Å): 8.315 8.316 9.544
angles (deg): 115.85 90.00 120.00
Fractional positions:
Cs 0.000 0.000 0.000
Cs 0.000 0.500 0.000
Cs 0.500 0.500 0.000
Nd 0.500 0.000 0.500
Nd 0.500 0.500 0.500
Nd 0.000 0.500 0.500
Sb 0.000 0.000 0.500
S 0.271 0.543 0.315
S 0.729 0.457 0.685
S 0.784 0.568 0.322
S 0.216 0.432 0.678
S 0.784 0.038 0.323
S 0.216 0.962 0.677
S 0.254 0.038 0.323
S 0.746 0.962 0.677

---

No. 6
Compound: SrZr2Fe
Source: Alexandria
Functional: GGA-PBE
Structure: relaxed

space-group type: Pmmm, No. 47
calculated formation energy: 0.698 eV per atom
distance to the lowest polymorph of the same formula: 480 meV/atom

a b c (Å): 3.740 4.840 5.213
angles (deg): 90.00 90.00 90.00
Site moments in Bohr magnetons follow the coordinates.
Fractional positions:
Fe 0.500 0.000 0.500  2.60
Sr 0.000 0.500 0.500  -0.07
Zr 0.000 0.000 0.000  -0.26
Zr 0.500 0.500 0.000  -0.21

---

No. 7
Compound: Zn3RuW
Source: Alexandria
Functional: GGA-PBE
Structure: relaxed

space-group type: Pm-3m, No. 221
calculated formation energy: 1.525 eV per atom
distance to the lowest polymorph of the same formula: 0 meV/atom

a b c (Å): 4.571 4.571 4.571
angles (deg): 90.00 90.00 90.00
Fractional positions:
Ru 0.000 0.000 0.000
Zn 0.000 0.500 0.000
Zn 0.000 0.000 0.500
Zn 0.500 0.000 0.000
W 0.500 0.500 0.500

---

No. 8
Compound: BaSi2Pb2
Source: Alexandria
Functional: GGA-PBE
Structure: relaxed

space-group type: I4/mmm, No. 139
distance to the lowest polymorph of the same formula: 142 meV/atom

a b c (Å): 5.243 5.243 6.656
angles (deg): 66.81 66.81 90.00
Fractional positions:
Pb 0.353 0.353 0.294
Pb 0.647 0.647 0.706
Si 0.750 0.250 0.500
Si 0.250 0.750 0.500
Ba 0.000 0.000 0.000

---

No. 9
Compound: Tb3Nd2Sm6Tm
Source: Alexandria
Functional: GGA-PBE
Structure: relaxed

space-group type: C2/m, No. 12
calculated formation energy: 0.014 eV per atom

a b c (Å): 6.249 6.249 11.964
angles (deg): 94.99 94.99 119.98
Fractional positions:
Tb 0.166 0.834 0.500
Tb 0.834 0.166 0.500
Tb 0.500 0.500 0.500
Nd 0.333 0.667 0.000
Nd 0.667 0.333 0.000
Sm 0.916 0.584 0.748
Sm 0.752 0.752 0.252
Sm 0.084 0.416 0.252
Sm 0.584 0.916 0.748
Sm 0.248 0.248 0.748
Sm 0.416 0.084 0.252
Tm 0.000 0.000 0.000

---

No. 10
Compound: Pu2HfTiP4
Source: Alexandria
Functional: GGA-PBE
Structure: relaxed

space-group type: P2/m, No. 10
calculated formation energy: -1.207 eV per atom

a b c (Å): 3.798 6.579 6.549
angles (deg): 109.42 90.00 90.00
Site moments in Bohr magnetons follow the coordinates.
Fractional positions:
Pu 0.500 0.000 0.500  4.98
Pu 0.000 0.500 0.500  -4.93
Hf 0.000 0.000 0.000  0.01
Ti 0.500 0.500 0.000  -0.04
P 0.500 0.250 0.229  0.03
P 0.500 0.750 0.771  0.03
P 0.000 0.263 0.775  -0.03
P 0.000 0.737 0.225  -0.03

---

No. 11
Compound: ZnPd2Pb2
Source: Alexandria
Functional: GGA-PBE
Structure: relaxed

space-group type: I4/mmm, No. 139
calculated formation energy: 0.021 eV per atom
distance to the lowest polymorph of the same formula: 198 meV/atom

a b c (Å): 3.909 3.909 8.091
angles (deg): 76.02 76.02 90.00
Fractional positions:
Pb 0.385 0.385 0.230
Pb 0.615 0.615 0.770
Zn 0.000 0.000 0.000
Pd 0.750 0.250 0.500
Pd 0.250 0.750 0.500

---

No. 12
Compound: CrRhSN2
Source: Alexandria
Functional: GGA-PBE
Structure: relaxed

space-group type: P4/mmm, No. 123
distance to the lowest polymorph of the same formula: 344 meV/atom

a b c (Å): 3.746 3.746 5.388
angles (deg): 90.00 90.00 90.00
Site moments in Bohr magnetons follow the coordinates.
Fractional positions:
Cr 0.500 0.500 0.500  3.84
S 0.000 0.000 0.500  -0.10
Rh 0.000 0.000 0.000  0.10
N 0.000 0.500 0.000  -0.10
N 0.500 0.000 0.000  -0.10

---

Number 1: total energy -12.15 eV per cell, magnetization 0.00 μB/cell. Number 2: total energy -68.95 eV per cell, magnetization 0.00 μB/cell. Number 3: total energy -26.22 eV per cell, magnetization 0.00 μB/cell. Number 4: total energy -62.74 eV per cell, magnetization 0.00 μB/cell. Number 5: total energy -76.13 eV per cell, magnetization 0.00 μB/cell. Number 6: total energy -24.45 eV per cell, magnetization 1.67 μB/cell. Number 7: total energy -18.43 eV per cell, magnetization 0.00 μB/cell. Number 8: total energy -19.91 eV per cell, magnetization 0.00 μB/cell. Number 9: total energy -56.04 eV per cell, magnetization 0.00 μB/cell. Number 10: total energy -77.80 eV per cell, magnetization 0.02 μB/cell. Number 11: total energy -18.97 eV per cell, magnetization 0.00 μB/cell. Number 12: total energy -32.83 eV per cell, magnetization 3.97 μB/cell.